Density functional theory data (GGA-PBE) for a relaxed structure of Tb3PS2.

The structure in POSCAR format:
```
Tb3PS2
1.0
6.744 0.331 -1.313
-2.070 5.721 -3.171
0.175 -0.244 6.855
Tb S P
6 4 2
Cartesian
3.459 0.043 2.771 Tb
6.429 1.259 0.444 Tb
-1.035 2.861 -1.586 Tb
-1.580 4.549 1.926 Tb
2.695 2.055 -0.515 Tb
2.154 3.753 2.885 Tb
-0.197 5.307 -2.664 S
5.046 0.501 5.034 S
1.301 1.326 4.026 S
3.548 4.482 -1.656 S
4.300 2.482 1.704 P
0.549 3.326 0.666 P
```

Summary:
DOS(E_F) ... 5.03 states/eV/cell
Magnetic moment ... 0.00 μB/cell
V ... 264 Å³/cell
Energy above the lowest structure with this stoichiometry ... 5.5 meV/atom
Uncorrected formation energy ... -1933 meV per atom